Record 1
PrSm3Y5, relaxed, DFT PBE; M_tot = 0.000 μB/f.u.; electronic total energy = -5.6355 eV/atom; N(E_F) = 29.00 states/eV per cell; ΔE_f = 0.06 eV/atom
1.0
9.8561 0.0000 0.0000
-4.9280 8.5356 0.0000
0.0000 0.0000 7.0975
Pr Sm Y
2 6 10
Direct
0.0000 0.0000 0.0000
0.0000 0.0000 0.5000
0.0000 0.3490 0.2500
0.0000 0.6510 0.7500
0.3490 0.0000 0.2500
0.3490 0.3490 0.7500
0.6510 0.0000 0.7500
0.6510 0.6510 0.2500
0.0000 0.3223 0.7500
0.0000 0.6777 0.2500
0.3223 0.0000 0.7500
0.3223 0.3223 0.2500
0.3333 0.6667 0.0000
0.3333 0.6667 0.5000
0.6667 0.3333 0.0000
0.6667 0.3333 0.5000
0.6777 0.0000 0.2500
0.6777 0.6777 0.7500



Record 2
BeSbOs2S, relaxed, DFT PBE; uncorrected formation energy = 2.42 eV/atom; M_tot = 3.053 μB/f.u.; electronic total energy = -4.4662 eV/atom; N(E_F) = 3.75 states/eV per cell
1.0
4.9185 0.0000 0.0000
0.0000 4.9185 0.0000
0.0000 0.0000 4.9913
Be Sb Os S
1 1 2 1
Direct
0.0000 0.0000 0.0000
0.5000 0.5000 0.5000
0.0000 0.5000 0.5000
0.5000 0.0000 0.5000
0.5000 0.5000 0.0000



no.,energy above the lowest structure with this stoichiometry (meV per atom)
1,0.0
2,1135.3